1.
# ZrSc (PBE-GGA, relaxed)
# raw total energy = -7.4542 eV per atom
# DFT formation energy = -0.016 eV/atom
data_ZrSc
_chemical_formula_sum 'Zr6 Sc6'
_space_group_name_H-M_alt 'P m c 21'
_space_group_IT_number 26
_space_group_name_Hall 'P 2c -2'
_cell_length_a 5.115
_cell_length_b 9.762
_cell_length_c 5.611
_cell_angle_alpha 90.00
_cell_angle_beta 90.00
_cell_angle_gamma 90.00
loop_
_atom_site_label
_atom_site_fract_x
_atom_site_fract_y
_atom_site_fract_z
Zr1 0.000 0.083 0.000
Zr2 0.000 0.245 0.502
Zr3 0.500 0.247 0.831
Sc1 0.000 0.412 0.994
Sc2 0.500 0.084 0.329
Sc3 0.500 0.415 0.337

=====

2.
# LiTbGaTe3 (PBE-GGA, relaxed)
# raw total energy = -3.9505 eV per atom
data_LiTbGaTe3
_chemical_formula_sum 'Li4 Tb4 Ga4 Te12'
_space_group_name_H-M_alt 'C m c m'
_space_group_IT_number 63
_space_group_name_Hall '-C 2c 2'
_cell_length_a 4.221
_cell_length_b 14.429
_cell_length_c 11.181
_cell_angle_alpha 90.00
_cell_angle_beta 90.00
_cell_angle_gamma 90.00
loop_
_atom_site_label
_atom_site_fract_x
_atom_site_fract_y
_atom_site_fract_z
Li1 0.000 0.217 0.250
Tb1 0.000 0.000 0.000
Ga1 0.000 0.482 0.750
Te1 0.000 0.111 0.750
Te2 0.000 0.352 0.567

=====

3.
# Tb4PrAg5 (PBE-GGA, relaxed)
# raw total energy = -4.0545 eV per atom
# DFT formation energy = -0.313 eV/atom
data_Tb4PrAg5
_chemical_formula_sum 'Tb4 Pr1 Ag5'
_space_group_name_H-M_alt 'P 4/m m m'
_space_group_IT_number 123
_space_group_name_Hall '-P 4 2'
_cell_length_a 3.650
_cell_length_b 3.650
_cell_length_c 18.453
_cell_angle_alpha 90.00
_cell_angle_beta 90.00
_cell_angle_gamma 90.00
loop_
_atom_site_label
_atom_site_fract_x
_atom_site_fract_y
_atom_site_fract_z
Tb1 0.000 0.000 0.098
Tb2 0.000 0.000 0.295
Pr1 0.000 0.000 0.500
Ag1 0.500 0.500 0.000
Ag2 0.500 0.500 0.197
Ag3 0.500 0.500 0.390

=====

4.
# LiDyMgSe3 (PBE-GGA, relaxed)
# raw total energy = -4.4847 eV per atom
data_LiDyMgSe3
_chemical_formula_sum 'Li4 Dy4 Mg4 Se12'
_space_group_name_H-M_alt 'C m c m'
_space_group_IT_number 63
_space_group_name_Hall '-C 2c 2'
_cell_length_a 4.068
_cell_length_b 13.112
_cell_length_c 11.271
_cell_angle_alpha 90.00
_cell_angle_beta 90.00
_cell_angle_gamma 90.00
loop_
_atom_site_label
_atom_site_fract_x
_atom_site_fract_y
_atom_site_fract_z
Li1 0.000 0.249 0.250
Dy1 0.000 0.500 0.000
Mg1 0.000 0.026 0.750
Se1 0.000 0.140 0.571
Se2 0.000 0.406 0.750

=====

5.
# NaTcAgTe2Se (PBE-GGA, relaxed)
# raw total energy = -4.1886 eV per atom
data_NaTcAgTe2Se
_chemical_formula_sum 'Na4 Tc4 Ag4 Te8 Se4'
_space_group_name_H-M_alt 'C m c m'
_space_group_IT_number 63
_space_group_name_Hall '-C 2c 2'
_cell_length_a 3.898
_cell_length_b 14.325
_cell_length_c 10.371
_cell_angle_alpha 90.00
_cell_angle_beta 90.00
_cell_angle_gamma 90.00
loop_
_atom_site_label
_atom_site_fract_x
_atom_site_fract_y
_atom_site_fract_z
Na1 0.000 0.243 0.250
Tc1 0.000 0.000 0.000
Ag1 0.000 0.447 0.750
Te1 0.000 0.362 0.518
Se1 0.000 0.071 0.750

=====

6.
# LiNi2Pd (PBE-GGA, relaxed)
# raw total energy = -4.5894 eV per atom
data_LiNi2Pd
_chemical_formula_sum 'Li4 Ni8 Pd4'
_space_group_name_H-M_alt 'F -4 3 m'
_space_group_IT_number 216
_space_group_name_Hall 'F -4 2 3'
_cell_length_a 5.762
_cell_length_b 5.762
_cell_length_c 5.762
_cell_angle_alpha 90.00
_cell_angle_beta 90.00
_cell_angle_gamma 90.00
loop_
_atom_site_label
_atom_site_fract_x
_atom_site_fract_y
_atom_site_fract_z
Li1 0.000 0.000 0.000
Ni1 0.000 0.000 0.500
Ni2 0.250 0.250 0.750
Pd1 0.250 0.250 0.250

=====

7.
# LaReNO (PBE-GGA, relaxed)
# energy above the lowest structure with this stoichiometry = 105.9 meV/atom
# raw total energy = -8.9424 eV per atom
data_LaReNO
_chemical_formula_sum 'La2 Re2 N2 O2'
_space_group_name_H-M_alt 'P 4/n m m'
_space_group_IT_number 129
_cell_length_a 3.834
_cell_length_b 3.834
_cell_length_c 8.359
_cell_angle_alpha 90.00
_cell_angle_beta 90.00
_cell_angle_gamma 90.00
loop_
_space_group_symop_operation_xyz
'x,y,z'
'-x,-y,-z'
'-y+1/2,x,z'
'y+1/2,-x,-z'
'-x+1/2,-y+1/2,z'
'x+1/2,y+1/2,-z'
'y,-x+1/2,z'
'-y,x+1/2,-z'
'x+1/2,-y,-z'
'-x+1/2,y,z'
'-y,-x,-z'
'y,x,z'
'-x,y+1/2,-z'
'x,-y+1/2,z'
'y+1/2,x+1/2,-z'
'-y+1/2,-x+1/2,z'
loop_
_atom_site_label
_atom_site_fract_x
_atom_site_fract_y
_atom_site_fract_z
La1 0.250 0.250 0.158
Re1 0.250 0.750 0.500
N1 0.250 0.250 0.616
O1 0.250 0.750 0.000

=====

8.
# NaSnAuS3 (PBE-GGA, relaxed)
# energy above the lowest structure with this stoichiometry = 25.4 meV/atom
# raw total energy = -3.9414 eV per atom
data_NaSnAuS3
_chemical_formula_sum 'Na4 Sn4 Au4 S12'
_space_group_name_H-M_alt 'C m c m'
_space_group_IT_number 63
_space_group_name_Hall '-C 2c 2'
_cell_length_a 3.819
_cell_length_b 14.448
_cell_length_c 10.037
_cell_angle_alpha 90.00
_cell_angle_beta 90.00
_cell_angle_gamma 90.00
loop_
_atom_site_label
_atom_site_fract_x
_atom_site_fract_y
_atom_site_fract_z
Na1 0.000 0.196 0.250
Sn1 0.000 0.500 0.000
Au1 0.000 0.136 0.750
S1 0.000 0.126 0.521
S2 0.000 0.446 0.750